{"formula": "Cs2HgHPb", "functional": "PBE", "state": "optimized geometry", "cell": [[6.3319, 0.0000, 0.0000], [0.0000, 6.3319, 0.0000], [0.0000, 0.0000, 4.7359]], "species": ["Cs", "Cs", "Hg", "H", "Pb"], "frac_coords": [[0.0000, 0.5000, 0.0000], [0.5000, 0.0000, 0.0000], [0.0000, 0.0000, 0.5000], [0.5000, 0.5000, 0.0000], [0.5000, 0.5000, 0.5000]], "volume_a3_per_cell": 190, "final_energy_ev_per_cell": -9.18}